[1]
The following is a DFT calculation (PBE) of crystalline Ta2CdOs at its relaxed geometry.

Summary:
Uncorrected energy   -8.79 eV per atom
DOS(E_F)   2.6 states/eV/cell
Density   15.96 g cm⁻³
Energy of formation   0.169 eV/atom

Lattice parameters (Å, degrees): 4.9430 4.9430 2.9953 89.97 89.97 109.16
Last column: nearest neighbours and their distance in Å.
Sites, in units of the cell vectors:
Ta (0.5000, 0.5000, 0.0000)  4 Ta 2.86-3.00, 4 Cd 2.89, 4 Os 2.89
Ta (0.0000, 0.0000, 0.0000)  4 Ta 2.86-3.00, 4 Os 2.89, 4 Cd 2.89
Os (0.0000, 0.5000, 0.5000)  2 Cd 2.86, 8 Ta 2.89, 2 Os 3.00
Cd (0.5000, 0.0000, 0.5000)  2 Os 2.86, 8 Ta 2.89, 2 Cd 3.00



[2]
The following is a DFT calculation (PBE) of crystalline RbTiNF2 at its relaxed geometry.

Summary:
Uncorrected energy   -3.88 eV per atom
DOS(E_F)   3.6 states/eV/cell
Density   2.98 g cm⁻³
Formation energy without anion corrections   0.31 eV/atom

Lattice parameters (Å, degrees): 4.7560 4.7560 4.5646 90.00 90.00 90.00
Last column: nearest neighbours and their distance in Å.
Sites, in units of the cell vectors:
F (0.5000, 0.0000, 0.0000)  2 Rb 2.38
F (0.0000, 0.5000, 0.0000)  2 Rb 2.38
Ti (0.5000, 0.5000, 0.5000)  8 F 3.30, 4 N 3.36
N (0.0000, 0.0000, 0.5000)  2 Rb 2.28
Rb (0.0000, 0.0000, 0.0000)  2 N 2.28, 4 F 2.38



[3]
The following is a DFT calculation (PBE) of crystalline ZrTe2HI at its relaxed geometry.

Summary:
Uncorrected energy   -3.58 eV per atom
DOS(E_F)   4.9 states/eV/cell
Density   6.77 g cm⁻³

Lattice parameters (Å, degrees): 4.4823 4.4823 5.7875 90.00 90.00 90.00
Last column: nearest neighbours and their distance in Å.
Sites, in units of the cell vectors:
Te (0.5000, 0.0000, 0.0000)  2 H 2.24
Te (0.0000, 0.5000, 0.0000)  2 H 2.24
I (0.0000, 0.0000, 0.5000)  2 H 2.89, 4 Zr 3.17
Zr (0.5000, 0.5000, 0.5000)  4 I 3.17
H (0.0000, 0.0000, 0.0000)  4 Te 2.24



[4]
The following is a DFT calculation (PBE) of crystalline Y5Cr4 at its relaxed geometry.

Summary:
Uncorrected energy   -7.43 eV per atom
DOS(E_F)   20.6 states/eV/cell
Density   4.98 g cm⁻³
Energy of formation   0.435 eV/atom

Lattice parameters (Å, degrees): 8.8906 8.8906 6.3561 90.00 90.00 60.00
Last column: nearest neighbours and their distance in Å.
Sites, in units of the cell vectors:
Y (0.2817, 0.0000, 0.7500)  7 Cr 2.97-3.28
Y (0.0000, 0.2817, 0.2500)  7 Cr 2.97-3.28
Y (0.6667, 0.6667, 0.5000)  2 Y 3.18, 6 Cr 3.23
Y (0.2817, 0.7183, 0.2500)  7 Cr 2.97-3.28
Y (0.0000, 0.7183, 0.7500)  7 Cr 2.97-3.28
Y (0.7183, 0.0000, 0.2500)  7 Cr 2.97-3.28
Y (0.7183, 0.2817, 0.7500)  7 Cr 2.97-3.28
Y (0.3333, 0.3333, 0.0000)  2 Y 3.18, 6 Cr 3.23
Y (0.3333, 0.3333, 0.5000)  2 Y 3.18, 6 Cr 3.23
Y (0.6667, 0.6667, 0.0000)  2 Y 3.18, 6 Cr 3.23
Cr (0.0000, 0.6289, 0.2500)  9 Y 2.98-3.28
Cr (0.6289, 0.3711, 0.2500)  9 Y 2.98-3.28
Cr (0.6289, 0.0000, 0.7500)  9 Y 2.98-3.28
Cr (0.0000, 0.0000, 0.5000)  6 Y 2.97, 2 Cr 3.18
Cr (0.3711, 0.6289, 0.7500)  9 Y 2.98-3.28
Cr (0.0000, 0.3711, 0.7500)  9 Y 2.98-3.28
Cr (0.0000, 0.0000, 0.0000)  6 Y 2.97, 2 Cr 3.18
Cr (0.3711, 0.0000, 0.2500)  9 Y 2.98-3.28



[5]
The following is a DFT calculation (PBE) of crystalline KPt3 at its relaxed geometry.

Summary:
Uncorrected energy   -4.76 eV per atom
DOS(E_F)   2.5 states/eV/cell
Density   10.68 g cm⁻³
Energy of formation   0.047 eV/atom

Lattice parameters (Å, degrees): 6.6531 6.6531 17.1372 158.11 158.11 23.75
Last column: nearest neighbours and their distance in Å.
Sites, in units of the cell vectors:
Pt (0.2411, 0.2411, 0.4281)  6 Pt 2.62-2.74
Pt (0.7589, 0.7589, 0.5719)  6 Pt 2.62-2.74
Pt (0.0000, 0.0000, 0.5000)  6 Pt 2.62-2.74
K (0.0000, 0.0000, 0.0000)  2 K 2.74



[6]
The following is a DFT calculation (PBE) of crystalline CdGePO2 at its relaxed geometry.

Summary:
Uncorrected energy   -3.69 eV per atom
DOS(E_F)   4.6 states/eV/cell
Density   4.71 g cm⁻³
Formation energy without anion corrections   0.48 eV/atom

Lattice parameters (Å, degrees): 4.0894 4.0894 5.2245 90.00 90.00 90.00
Last column: nearest neighbours and their distance in Å.
Sites, in units of the cell vectors:
O (0.0000, 0.5000, 0.0000)  2 Cd 2.04
O (0.5000, 0.0000, 0.0000)  2 Cd 2.04
P (0.0000, 0.0000, 0.5000)  2 Cd 2.61, 4 Ge 2.89
Cd (0.0000, 0.0000, 0.0000)  4 O 2.04
Ge (0.5000, 0.5000, 0.5000)  4 P 2.89



[7]
The following is a DFT calculation (PBE) of crystalline LiFeSnCl2 at its relaxed geometry.

Summary:
Uncorrected energy   -3.82 eV per atom
DOS(E_F)   2.5 states/eV/cell
Density   3.50 g cm⁻³
Formation energy without anion corrections   -0.20 eV/atom

Lattice parameters (Å, degrees): 4.6468 5.5393 4.6468 90.00 90.00 90.00
Last column: nearest neighbours and their distance in Å.
Sites, in units of the cell vectors:
Fe (0.0000, 0.0000, 0.0000)  4 Cl 2.32
Li (0.5000, 0.5000, 0.5000)  4 Sn 3.29, 8 Cl 3.62
Sn (0.0000, 0.5000, 0.0000)  2 Fe 2.77
Cl (0.0000, 0.0000, 0.5000)  2 Fe 2.32
Cl (0.5000, 0.0000, 0.0000)  2 Fe 2.32



[8]
The following is a DFT calculation (PBE) of crystalline Cr2Pd8Rh at its relaxed geometry.

Summary:
Uncorrected energy   -6.14 eV per atom
DOS(E_F)   13.5 states/eV/cell
Density   10.37 g cm⁻³
Energy of formation   0.055 eV/atom

Lattice parameters (Å, degrees): 4.0929 6.9736 7.1841 119.04 106.55 90.00
Last column: nearest neighbours and their distance in Å.
Sites, in units of the cell vectors:
Rh (0.5000, 0.0000, 0.0000)  12 Pd 2.69-2.94
Pd (0.3438, 0.1231, 0.6876)  3 Cr 2.60-2.65, 1 Rh 2.69, 5 Pd 2.73-2.82
Pd (0.3438, 0.5646, 0.6876)  3 Cr 2.60-2.65, 1 Rh 2.69, 5 Pd 2.73-2.83
Pd (0.0000, 0.6981, 0.0000)  2 Cr 2.67, 7 Pd 2.76-2.79, 2 Rh 2.94
Pd (0.6562, 0.8769, 0.3124)  3 Cr 2.60-2.65, 1 Rh 2.69, 5 Pd 2.73-2.82
Pd (0.6562, 0.4354, 0.3124)  3 Cr 2.60-2.65, 1 Rh 2.69, 5 Pd 2.73-2.83
Pd (0.1541, 0.1541, 0.3082)  8 Pd 2.73-2.83, 2 Cr 2.74, 2 Rh 2.75
Pd (0.0000, 0.3019, 0.0000)  2 Cr 2.67, 7 Pd 2.76-2.79, 2 Rh 2.94
Pd (0.8459, 0.8459, 0.6918)  8 Pd 2.73-2.83, 2 Cr 2.74, 2 Rh 2.75
Cr (0.1928, 0.6929, 0.3857)  10 Pd 2.60-2.74
Cr (0.8072, 0.3071, 0.6143)  10 Pd 2.60-2.74